Record 1
The following is a PBE calculation of ScP3 after structural relaxation, from the Alexandria database.

Computed properties:
E_form = -163 kJ/mol of formula units
E = -6.0635 eV per atom
Mass density = 3.71 g cm⁻³
Crystal system = orthorhombic

The structure in CIF format:
```
data_ScP3
_space_group_name_H-M_alt 'I m m m'
_space_group_IT_number 71
_space_group_name_Hall '-I 2 2'
_cell_length_a 3.3230
_cell_length_b 4.6325
_cell_length_c 8.0183
_cell_angle_alpha 90.00
_cell_angle_beta 90.00
_cell_angle_gamma 90.00
loop_
_atom_site_label
_atom_site_type_symbol
_atom_site_fract_x
_atom_site_fract_y
_atom_site_fract_z
Sc1 Sc 0.0000 0.0000 0.0000
P1 P 0.0000 0.0000 0.5000
P2 P 0.0000 0.5000 0.2089
```

---

Record 2
The following is a PBE calculation of Sc2P after structural relaxation, from the Alexandria database.

Computed properties:
E_form = -260 kJ/mol of formula units
E = -6.9234 eV per atom
Mass density = 3.54 g cm⁻³
Crystal system = tetragonal

The structure in CIF format:
```
data_Sc2P
_space_group_name_H-M_alt 'I 4/m c m'
_space_group_IT_number 140
_space_group_name_Hall '-I 4 2c'
_cell_length_a 6.4629
_cell_length_b 6.4629
_cell_length_c 5.4372
_cell_angle_alpha 90.00
_cell_angle_beta 90.00
_cell_angle_gamma 90.00
loop_
_atom_site_label
_atom_site_type_symbol
_atom_site_fract_x
_atom_site_fract_y
_atom_site_fract_z
Sc1 Sc 0.1679 0.3321 0.0000
P1 P 0.0000 0.0000 0.2500
```

---

Record 3
The following is a PBE calculation of ScP3 after structural relaxation, from the Alexandria database.

Computed properties:
E_form = -110 kJ/mol of formula units
E = -5.9255 eV per atom
Mass density = 3.54 g cm⁻³
Crystal system = tetragonal

The structure in CIF format:
```
data_ScP3
_space_group_name_H-M_alt 'I 4/m m m'
_space_group_IT_number 139
_space_group_name_Hall '-I 4 2'
_cell_length_a 3.6634
_cell_length_b 3.6634
_cell_length_c 9.6259
_cell_angle_alpha 90.00
_cell_angle_beta 90.00
_cell_angle_gamma 90.00
loop_
_atom_site_label
_atom_site_type_symbol
_atom_site_fract_x
_atom_site_fract_y
_atom_site_fract_z
Sc1 Sc 0.0000 0.0000 0.0000
P1 P 0.0000 0.0000 0.5000
P2 P 0.0000 0.5000 0.2500
```

---

Record 4
The following is a PBE calculation of ScP3 after structural relaxation, from the Alexandria database.

Computed properties:
E_form = -145 kJ/mol of formula units
E = -6.0149 eV per atom
Mass density = 3.53 g cm⁻³
Crystal system = tetragonal

The structure in CIF format:
```
data_ScP3
_space_group_name_H-M_alt 'I 4/m m m'
_space_group_IT_number 139
_space_group_name_Hall '-I 4 2'
_cell_length_a 3.5639
_cell_length_b 3.5639
_cell_length_c 20.4530
_cell_angle_alpha 90.00
_cell_angle_beta 90.00
_cell_angle_gamma 90.00
loop_
_atom_site_label
_atom_site_type_symbol
_atom_site_fract_x
_atom_site_fract_y
_atom_site_fract_z
Sc1 Sc 0.0000 0.0000 0.1480
P1 P 0.0000 0.0000 0.3994
P2 P 0.0000 0.5000 0.0000
P3 P 0.0000 0.5000 0.2500
```

---

Record 5
The following is a PBE calculation of Sc5P4 after structural relaxation, from the Alexandria database.

Computed properties:
E_form = -692 kJ/mol of formula units
E = -6.7189 eV per atom
Mass density = 2.89 g cm⁻³
Crystal system = tetragonal

The structure in CIF format:
```
data_Sc5P4
_space_group_name_H-M_alt 'I 4/m m m'
_space_group_IT_number 139
_space_group_name_Hall '-I 4 2'
_cell_length_a 10.2086
_cell_length_b 10.2086
_cell_length_c 3.8488
_cell_angle_alpha 90.00
_cell_angle_beta 90.00
_cell_angle_gamma 90.00
loop_
_atom_site_label
_atom_site_type_symbol
_atom_site_fract_x
_atom_site_fract_y
_atom_site_fract_z
Sc1 Sc 0.0000 0.0000 0.0000
Sc2 Sc 0.1650 0.1650 0.5000
P1 P 0.0000 0.2525 0.0000
```

---

Record 6
The following is a PBE calculation of ScP2 after structural relaxation, from the Alexandria database.

Computed properties:
E_form = -135 kJ/mol of formula units
E = -6.1843 eV per atom
Mass density = 3.54 g cm⁻³
Crystal system = hexagonal

The structure in CIF format:
```
data_ScP2
_space_group_name_H-M_alt 'P 63/m m c'
_space_group_IT_number 194
_space_group_name_Hall '-P 6c 2c'
_cell_length_a 4.7689
_cell_length_b 4.7689
_cell_length_c 5.0952
_cell_angle_alpha 90.00
_cell_angle_beta 90.00
_cell_angle_gamma 120.00
loop_
_atom_site_label
_atom_site_type_symbol
_atom_site_fract_x
_atom_site_fract_y
_atom_site_fract_z
Sc1 Sc 0.3333 0.6667 0.2500
P1 P 0.0000 0.0000 0.0000
P2 P 0.3333 0.6667 0.7500
```

---

Record 7
The following is a PBE calculation of Sc3P after structural relaxation, from the Alexandria database.

Computed properties:
E_form = -166 kJ/mol of formula units
E = -6.5323 eV per atom
Mass density = 3.52 g cm⁻³
Crystal system = cubic

The structure in CIF format:
```
data_Sc3P
_space_group_name_H-M_alt 'P m -3 n'
_space_group_IT_number 223
_space_group_name_Hall '-P 4n 2 3'
_cell_length_a 5.3881
_cell_length_b 5.3881
_cell_length_c 5.3881
_cell_angle_alpha 90.00
_cell_angle_beta 90.00
_cell_angle_gamma 90.00
loop_
_atom_site_label
_atom_site_type_symbol
_atom_site_fract_x
_atom_site_fract_y
_atom_site_fract_z
Sc1 Sc 0.0000 0.2500 0.5000
P1 P 0.0000 0.0000 0.0000
```

---

Record 8
The following is a PBE calculation of Sc3P4 after structural relaxation, from the Alexandria database.

Computed properties:
E_form = -321 kJ/mol of formula units
E = -6.2807 eV per atom
Mass density = 3.15 g cm⁻³
Crystal system = hexagonal

The structure in CIF format:
```
data_Sc3P4
_space_group_name_H-M_alt 'P 6/m m m'
_space_group_IT_number 191
_space_group_name_Hall '-P 6 2'
_cell_length_a 6.1874
_cell_length_b 6.1874
_cell_length_c 4.1148
_cell_angle_alpha 90.00
_cell_angle_beta 90.00
_cell_angle_gamma 120.00
loop_
_atom_site_label
_atom_site_type_symbol
_atom_site_fract_x
_atom_site_fract_y
_atom_site_fract_z
Sc1 Sc 0.0000 0.5000 0.0000
P1 P 0.0000 0.0000 0.2539
P2 P 0.3333 0.6667 0.5000
```